VASP calculation (SCAN) on BaBe2Si at its PBEsol-relaxed geometry.

E_form (uncorrected): 0.01 eV/atom
total magnetic moment: 0.11 μB per formula unit

a = 3.8193 Å, b = 3.8193 Å, c = 17.8367 Å
α = 90.00°, β = 90.00°, γ = 120.00°
Space group R3m (No. 160, hexagonal axes)
Inequivalent atoms, fractional coordinates:
Ba  0.0000  0.0000  0.0000 [3 per cell]
Be  0.0000  0.0000  0.4901 [3 per cell]
Be  0.0000  0.0000  0.8141 [3 per cell]
Si  0.0000  0.0000  0.1962 [3 per cell]